# CsTiRe2Sb | the Alexandria database | PBE | relaxed
data_CsTiRe2Sb
_cell_length_a 4.914
_cell_length_b 4.914
_cell_length_c 5.367
_cell_angle_alpha 90.00
_cell_angle_beta 90.00
_cell_angle_gamma 90.00
_symmetry_space_group_name_H-M 'P 4/m m m'
_symmetry_Int_Tables_number 123
_symmetry_space_group_name_Hall '-P 4 2'
loop_
_atom_site_label
_atom_site_fract_x
_atom_site_fract_y
_atom_site_fract_z
Cs1 0.000 0.000 0.000
Ti1 0.500 0.500 0.500
Re1 0.000 0.500 0.500
Sb1 0.500 0.500 0.000
# - spin magnetization (μB per formula unit) = 3.12
# - raw formation energy (eV per atom) = 1.622
# - E (eV/f.u.) = -29.656